This record from Alexandria via LeMat-Bulk describes a relaxed structure of Nd3BiH. The functional is PBE.

Its polymorph energy (0 for the lowest one) is 0.0729 eV per atom. The calculated density comes out at 8.0 g cm⁻³. The calculation puts the density of states at the Fermi level at 15.0 states/eV per cell.

POSCAR file:
```
Nd3BiH
1.0
6.625 0.000 0.000
0.000 8.516 0.478
0.000 -2.621 9.309
Nd Bi H
12 4 4
Cartesian
1.628 4.381 2.147 Nd
4.996 1.514 7.641 Nd
0.272 4.237 9.673 Nd
3.584 4.606 5.007 Nd
3.040 1.289 4.780 Nd
3.561 4.579 8.545 Nd
1.684 -1.187 6.562 Nd
6.353 1.658 0.114 Nd
6.376 1.632 3.652 Nd
3.064 1.316 1.242 Nd
0.249 4.263 6.135 Nd
4.941 7.082 3.225 Nd
1.696 1.734 8.030 Bi
1.616 7.303 3.615 Bi
4.929 4.161 1.757 Bi
5.008 -1.408 6.172 Bi
4.905 8.211 0.996 H
1.592 3.252 4.375 H
1.720 -2.316 8.791 H
5.032 2.643 5.412 H
```